Here is a relaxed Mg8InPt2 crystal from the Alexandria database. Energies are from GGA-PBE.

```
Mg8InPt2
1.0
4.705 0.000 0.000
-0.100 6.639 0.000
-2.210 -3.306 7.093
Mg In Pt
8 1 2
Cartesian
0.000 0.000 0.000
-0.065 2.982 0.479
-0.300 0.887 2.912
0.026 2.993 5.337
0.064 0.002 5.814
2.244 5.365 1.282
2.182 2.704 2.911
2.371 -1.249 4.508
-0.105 4.623 2.904
2.357 1.327 0.594
2.428 1.338 5.231
```

## Properties
Relative energy among the computed polymorphs: 0.037 eV/f.u.
Calculated total energy: -32.06 eV for the cell shown
Formation enthalpy at 0 K: -407 meV per atom
M_tot: 0.0000 μB per atom
ρ: 5.242 g/cm3